(1)
MnCdTc3, optimized geometry, DFT PBE-GGA; DOS(E_F) = 5.28 states/eV per cell; energy above the lowest structure with this stoichiometry = 0 meV/atom; mass density = 8.7 g/cm³; calculated total energy = -7.14 eV/atom
1.0
4.4542 0.0000 0.0000
0.0000 4.4542 0.0000
0.0000 0.0000 4.4542
Mn Cd Tc
1 1 3
Direct
0.0000 0.0000 0.0000 Mn
0.5000 0.5000 0.5000 Cd
0.0000 0.0000 0.5000 Tc
0.0000 0.5000 0.0000 Tc
0.5000 0.0000 0.0000 Tc

***

(2)
Mn2VCdTc, optimized geometry, DFT PBE-GGA; DOS(E_F) = 9.57 states/eV per cell; mass density = 6.4 g/cm³; calculated total energy = -5.16 eV/atom
1.0
4.5462 0.0000 0.0000
0.0000 4.5462 0.0000
0.0000 0.0000 4.6627
Mn V Cd Tc
2 1 1 1
Direct
0.0000 0.5000 0.0000 Mn
0.5000 0.0000 0.0000 Mn
0.0000 0.0000 0.5000 V
0.0000 0.0000 0.0000 Cd
0.5000 0.5000 0.5000 Tc

***

(3)
Zr2MnCdTc, optimized geometry, DFT PBE-GGA; DOS(E_F) = 10.66 states/eV per cell; mass density = 5.9 g/cm³; calculated total energy = -5.40 eV/atom
1.0
5.1482 0.0000 0.0000
0.0000 5.1482 0.0000
0.0000 0.0000 4.7866
Zr Mn Cd Tc
2 1 1 1
Direct
0.0000 0.5000 0.0000 Zr
0.5000 0.0000 0.0000 Zr
0.0000 0.0000 0.5000 Mn
0.5000 0.5000 0.0000 Cd
0.5000 0.5000 0.5000 Tc

***

(4)
MnCdTe, optimized geometry, DFT PBE-GGA; DOS(E_F) = 3.92 states/eV per cell; energy above the lowest structure with this stoichiometry = 0 meV/atom; mass density = 7.5 g/cm³; formation energy (no corrections) = 0.089 eV per atom; calculated total energy = -4.32 eV/atom
1.0
-2.8634 3.3051 3.4472
2.8634 -3.3051 3.4472
2.8634 3.3051 -3.4472
Mn Cd Te
2 2 2
Direct
0.0000 0.0000 0.0000 Mn
0.0000 0.5000 0.5000 Mn
0.4922 0.4000 0.5922 Cd
0.8078 0.9000 0.4078 Cd
0.1506 0.5760 0.0746 Te
0.5014 0.0760 0.9254 Te